Here is an optimized crystal structure of ZrTiTe2 from Alexandria. Energies are from GGA-PBE.

Cell: 7.0105 7.0105 7.0105 Å, 90.00 90.00 90.00°
Space group Fm-3m (No. 225)
One atom of each set of equivalent atoms:
1 Zr 0.0000 0.0000 0.0000 x4
2 Ti 0.0000 0.0000 0.5000 x4
3 Te 0.2500 0.2500 0.2500 x8

size of the total moment = 0.00 μB per formula unit
raw formation energy = -576 meV per atom
VASP energy = -6.26 eV/atom

=====

Here is an optimized crystal structure of ZrTi3Te8 from Alexandria. Energies are from GGA-PBE.

Cell: 13.1770 7.5992 8.5654 Å, 90.00 121.28 90.00°
Space group C2/m (No. 12)
One atom of each set of equivalent atoms:
1 Zr 0.0000 0.0000 0.0000 x2
2 Ti 0.0000 0.5000 0.0000 x2
3 Ti 0.2500 0.2500 0.0000 x4
4 Te 0.0042 0.2582 0.7566 x8
5 Te 0.2458 0.5000 0.2351 x4
6 Te 0.2459 0.5000 0.7567 x4

size of the total moment = 0.00 μB per formula unit
raw formation energy = -728 meV per atom
VASP energy = -5.51 eV/atom

=====

Here is an optimized crystal structure of ZrTiTe from Alexandria. Energies are from GGA-PBE.

Cell: 10.3486 3.7794 7.3808 Å, 90.00 109.67 90.00°
Space group C2/m (No. 12)
One atom of each set of equivalent atoms:
1 Zr 0.1102 0.0000 0.2487 x4
2 Ti 0.1240 0.5000 0.9505 x4
3 Te 0.1587 0.0000 0.6824 x4

size of the total moment = 0.00 μB per formula unit
raw formation energy = -513 meV per atom
VASP energy = -7.04 eV/atom

=====

Here is an optimized crystal structure of ZrTiTe4 from Alexandria. Energies are from GGA-PBE.

Cell: 6.7402 3.8699 6.7797 Å, 90.00 90.18 90.00°
Space group P2/m (No. 10)
One atom of each set of equivalent atoms:
1 Zr 0.0000 0.0000 0.0000 x1
2 Ti 0.5000 0.5000 0.0000 x1
3 Te 0.1771 0.5000 0.7353 x2
4 Te 0.3443 0.0000 0.2553 x2

size of the total moment = 0.00 μB per formula unit
raw formation energy = -776 meV per atom
VASP energy = -5.61 eV/atom

=====

Here is an optimized crystal structure of Zr3TiTe from Alexandria. Energies are from GGA-PBE.

Cell: 5.2251 5.2251 5.2251 Å, 90.00 90.00 90.00°
Space group Pm-3m (No. 221)
One atom of each set of equivalent atoms:
1 Zr 0.0000 0.0000 0.5000 x3
2 Ti 0.5000 0.5000 0.5000 x1
3 Te 0.0000 0.0000 0.0000 x1

size of the total moment = 0.00 μB per formula unit
raw formation energy = 734 meV per atom
VASP energy = -6.60 eV/atom

=====

Here is an optimized crystal structure of Zr3TiTe6 from Alexandria. Energies are from GGA-PBE.

Cell: 11.6040 14.0964 6.9465 Å, 90.00 90.00 90.00°
Space group Cmc2_1 (No. 36)
One atom of each set of equivalent atoms:
1 Zr 0.0000 0.0906 0.0000 x4
2 Zr 0.1632 0.3987 0.1062 x8
3 Ti 0.0000 0.2904 0.6712 x4
4 Te 0.0000 0.2631 0.2817 x4
5 Te 0.0000 0.4690 0.8022 x4
6 Te 0.1705 0.0356 0.2975 x8
7 Te 0.1810 0.2199 0.8609 x8

size of the total moment = 1.96 μB per formula unit
raw formation energy = -645 meV per atom
VASP energy = -5.88 eV/atom

=====

Here is an optimized crystal structure of Zr3TiTe8 from Alexandria. Energies are from GGA-PBE.

Cell: 13.5814 7.8129 8.6762 Å, 90.00 121.90 90.00°
Space group C2/m (No. 12)
One atom of each set of equivalent atoms:
1 Zr 0.0000 0.0000 0.0000 x2
2 Zr 0.2500 0.2500 0.0000 x4
3 Ti 0.0000 0.5000 0.0000 x2
4 Te 0.0009 0.2582 0.2420 x8
5 Te 0.2427 0.5000 0.2420 x4
6 Te 0.2493 0.5000 0.7502 x4

size of the total moment = 0.00 μB per formula unit
raw formation energy = -819 meV per atom
VASP energy = -5.71 eV/atom

=====

Here is an optimized crystal structure of Zr2Ti2Te from Alexandria. Energies are from GGA-PBE.

Cell: 7.2111 7.2111 3.9750 Å, 90.00 90.00 90.00°
Space group P4/mbm (No. 127)
One atom of each set of equivalent atoms:
1 Zr 0.1726 0.3274 0.0000 x4
2 Ti 0.1271 0.6271 0.5000 x4
3 Te 0.0000 0.0000 0.5000 x2

size of the total moment = 0.01 μB per formula unit
raw formation energy = -134 meV per atom
VASP energy = -7.34 eV/atom

=====

- Which value of VASP energy does entry 1 give?
  -6.26 eV/atom